The following is a DFT calculation (GGA-PBE) of Li2TlIn after structural relaxation.

## Properties
Total DFT energy (no corrections) (eV/atom): -2.3911
Fermi-level density of states (states/eV per cell): 2.457
ΔH_f (0 K) (eV/atom): -0.16

Cell: 3.320 3.320 9.536 Å, 79.98 79.98 60.00°
Positions (direct):
Li1 0.084 0.084 0.747
Li2 0.249 0.249 0.253
Tl1 0.667 0.667 0.000
In1 0.500 0.500 0.499